[1]
# Na12Hg3Br5 (GGA-PBE, optimized geometry)
# - DOS(E_F) (states/eV per cell) = 89.5
# - ΔE_f (raw) (eV per atom) = -0.70
data_Na12Hg3Br5
_chemical_formula_sum 'Na96 Hg24 Br40'
_space_group_name_H-M_alt 'I a -3 d'
_space_group_IT_number 230
_space_group_name_Hall '-I 4bd 2c 3'
_cell_length_a 17.792
_cell_length_b 17.792
_cell_length_c 17.792
_cell_angle_alpha 90.00
_cell_angle_beta 90.00
_cell_angle_gamma 90.00
loop_
_atom_site_label
_atom_site_type_symbol
_atom_site_fract_x
_atom_site_fract_y
_atom_site_fract_z
Na1 Na 0.018 0.069 0.652
Hg1 Hg 0.000 0.250 0.125
Br1 Br 0.000 0.000 0.000
Br2 Br 0.000 0.250 0.375

***

[2]
# Na2HgBr4 (GGA-PBE, optimized geometry)
# - DOS(E_F) (states/eV per cell) = 0.0
# - ΔE_f (raw) (eV per atom) = -1.04
data_Na2HgBr4
_chemical_formula_sum 'Na4 Hg2 Br8'
_space_group_name_H-M_alt 'C 1 2/m 1'
_space_group_IT_number 12
_cell_length_a 14.800
_cell_length_b 4.441
_cell_length_c 7.334
_cell_angle_alpha 90.00
_cell_angle_beta 115.90
_cell_angle_gamma 90.00
loop_
_space_group_symop_operation_xyz
'x,y,z'
'-x,-y,-z'
'-x,y,-z'
'x,-y,z'
'x+1/2,y+1/2,z'
'-x+1/2,-y+1/2,-z'
'-x+1/2,y+1/2,-z'
'x+1/2,-y+1/2,z'
loop_
_atom_site_label
_atom_site_type_symbol
_atom_site_fract_x
_atom_site_fract_y
_atom_site_fract_z
Na1 Na 0.225 0.000 0.229
Hg1 Hg 0.000 0.500 0.500
Br1 Br 0.116 0.500 0.316
Br2 Br 0.138 0.000 0.784

***

[3]
# Na6HgBr8 (GGA-PBE, optimized geometry)
# - DOS(E_F) (states/eV per cell) = 0.0
# - ΔE_f (raw) (eV per atom) = -1.33
data_Na6HgBr8
_chemical_formula_sum 'Na24 Hg4 Br32'
_space_group_name_H-M_alt 'F m -3 m'
_space_group_IT_number 225
_space_group_name_Hall '-F 4 2 3'
_cell_length_a 12.057
_cell_length_b 12.057
_cell_length_c 12.057
_cell_angle_alpha 90.00
_cell_angle_beta 90.00
_cell_angle_gamma 90.00
loop_
_atom_site_label
_atom_site_type_symbol
_atom_site_fract_x
_atom_site_fract_y
_atom_site_fract_z
Na1 Na 0.000 0.250 0.250
Hg1 Hg 0.000 0.000 0.000
Br1 Br 0.000 0.000 0.239
Br2 Br 0.250 0.250 0.250

***

[4]
# Na5HgBr8 (GGA-PBE, optimized geometry)
# - DOS(E_F) (states/eV per cell) = 98.0
# - ΔE_f (raw) (eV per atom) = -1.11
data_Na5HgBr8
_chemical_formula_sum 'Na20 Hg4 Br32'
_space_group_name_H-M_alt 'F -4 3 m'
_space_group_IT_number 216
_space_group_name_Hall 'F -4 2 3'
_cell_length_a 12.245
_cell_length_b 12.245
_cell_length_c 12.245
_cell_angle_alpha 90.00
_cell_angle_beta 90.00
_cell_angle_gamma 90.00
loop_
_atom_site_label
_atom_site_type_symbol
_atom_site_fract_x
_atom_site_fract_y
_atom_site_fract_z
Na1 Na 0.000 0.000 0.000
Na2 Na 0.128 0.128 0.372
Hg1 Hg 0.250 0.250 0.750
Br1 Br 0.122 0.122 0.622
Br2 Br 0.133 0.133 0.133

***

[5]
# Na2HgBr2 (GGA-PBE, optimized geometry)
# - DOS(E_F) (states/eV per cell) = 0.0
# - ΔE_f (raw) (eV per atom) = -1.11
data_Na2HgBr2
_chemical_formula_sum 'Na4 Hg2 Br4'
_space_group_name_H-M_alt 'P 4/m b m'
_space_group_IT_number 127
_space_group_name_Hall '-P 4 2ab'
_cell_length_a 8.534
_cell_length_b 8.534
_cell_length_c 3.860
_cell_angle_alpha 90.00
_cell_angle_beta 90.00
_cell_angle_gamma 90.00
loop_
_atom_site_label
_atom_site_type_symbol
_atom_site_fract_x
_atom_site_fract_y
_atom_site_fract_z
Na1 Na 0.145 0.355 0.000
Hg1 Hg 0.000 0.000 0.000
Br1 Br 0.154 0.654 0.500

***

[6]
# NaHgBr (GGA-PBE, optimized geometry)
# - DOS(E_F) (states/eV per cell) = 0.0
# - ΔE_f (raw) (eV per atom) = -0.96
data_NaHgBr
_chemical_formula_sum 'Na4 Hg4 Br4'
_space_group_name_H-M_alt 'C 1 2/m 1'
_space_group_IT_number 12
_cell_length_a 8.470
_cell_length_b 4.945
_cell_length_c 11.481
_cell_angle_alpha 90.00
_cell_angle_beta 102.53
_cell_angle_gamma 90.00
loop_
_space_group_symop_operation_xyz
'x,y,z'
'-x,-y,-z'
'-x,y,-z'
'x,-y,z'
'x+1/2,y+1/2,z'
'-x+1/2,-y+1/2,-z'
'-x+1/2,y+1/2,-z'
'x+1/2,-y+1/2,z'
loop_
_atom_site_label
_atom_site_type_symbol
_atom_site_fract_x
_atom_site_fract_y
_atom_site_fract_z
Na1 Na 0.203 0.000 0.119
Hg1 Hg 0.189 0.500 0.573
Br1 Br 0.125 0.000 0.855

***

[7]
# Na3HgBr4 (GGA-PBE, optimized geometry)
# - DOS(E_F) (states/eV per cell) = 2.4
# - ΔE_f (raw) (eV per atom) = -1.18
data_Na3HgBr4
_chemical_formula_sum 'Na6 Hg2 Br8'
_space_group_name_H-M_alt 'P m m n'
_space_group_IT_number 59
_cell_length_a 5.815
_cell_length_b 10.513
_cell_length_c 9.164
_cell_angle_alpha 90.00
_cell_angle_beta 90.00
_cell_angle_gamma 90.00
loop_
_space_group_symop_operation_xyz
'x,y,z'
'-x,-y,-z'
'-x+1/2,-y+1/2,z'
'x+1/2,y+1/2,-z'
'x+1/2,-y,-z'
'-x+1/2,y,z'
'-x,y+1/2,-z'
'x,-y+1/2,z'
loop_
_atom_site_label
_atom_site_type_symbol
_atom_site_fract_x
_atom_site_fract_y
_atom_site_fract_z
Na1 Na 0.250 0.005 0.163
Na2 Na 0.250 0.750 0.672
Hg1 Hg 0.250 0.250 0.668
Br1 Br 0.250 0.250 0.319
Br2 Br 0.250 0.515 0.843
Br3 Br 0.250 0.750 0.333

***

[8]
# Na2Hg3Br8 (GGA-PBE, optimized geometry)
# - DOS(E_F) (states/eV per cell) = 0.0
# - ΔE_f (raw) (eV per atom) = -0.74
data_Na2Hg3Br8
_chemical_formula_sum 'Na4 Hg6 Br16'
_space_group_name_H-M_alt 'C 1 2/m 1'
_space_group_IT_number 12
_cell_length_a 14.145
_cell_length_b 8.149
_cell_length_c 7.488
_cell_angle_alpha 90.00
_cell_angle_beta 97.31
_cell_angle_gamma 90.00
loop_
_space_group_symop_operation_xyz
'x,y,z'
'-x,-y,-z'
'-x,y,-z'
'x,-y,z'
'x+1/2,y+1/2,z'
'-x+1/2,-y+1/2,-z'
'-x+1/2,y+1/2,-z'
'x+1/2,-y+1/2,z'
loop_
_atom_site_label
_atom_site_type_symbol
_atom_site_fract_x
_atom_site_fract_y
_atom_site_fract_z
Na1 Na 0.219 0.000 0.090
Hg1 Hg 0.000 0.249 0.500
Hg2 Hg 0.000 0.500 0.000
Br1 Br 0.111 0.500 0.370
Br2 Br 0.118 0.264 0.867
Br3 Br 0.120 0.000 0.410